This record from Alexandria describes a relaxed SnWF2 crystal. The functional is PBE+U.

```
12
Lattice="3.067 0.000 0.000 -1.534 2.656 0.000 0.000 0.000 32.135" Properties=species:S:1:pos:R:3 pbc="T T T"
Sn 0.000 0.000 0.000
Sn 0.000 1.771 21.423
Sn 1.534 0.885 10.712
W 0.000 0.000 16.067
W 0.000 1.771 5.356
W 1.534 0.885 26.779
F 0.000 0.000 14.184
F 0.000 0.000 17.951
F 0.000 1.771 3.472
F 0.000 1.771 7.239
F 1.534 0.885 24.896
F 1.534 0.885 28.662
```

Values from the calculation:
Distance to the lowest polymorph of the same formula = 0.000 eV/atom
Magnetic moment = 0.0 μB per formula unit
Electronic total energy = -4.71 eV per atom
SG = R-3m, No. 166